Entry 1:
ThAlCuHg | GGA-PBE | optimized geometry

Properties
Its crystal system is cubic. For the formation energy, the calculation gives -137 meV/atom.

The structure in CIF format:
```
data_ThAlCuHg
_chemical_formula_sum 'Th4 Al4 Cu4 Hg4'
_cell_length_a 7.019
_cell_length_b 7.019
_cell_length_c 7.019
_cell_angle_alpha 90.00
_cell_angle_beta 90.00
_cell_angle_gamma 90.00
_symmetry_space_group_name_H-M 'F -4 3 m'
_symmetry_Int_Tables_number 216
_symmetry_space_group_name_Hall 'F -4 2 3'
loop_
_atom_site_label
_atom_site_type_symbol
_atom_site_fract_x
_atom_site_fract_y
_atom_site_fract_z
Th1 Th 0.000 0.000 0.000
Al1 Al 0.000 0.000 0.500
Cu1 Cu 0.250 0.250 0.750
Hg1 Hg 0.250 0.250 0.250
```


Entry 2:
LaHSe | GGA-PBE | optimized geometry

Properties
Its crystal system is triclinic. As for the uncorrected energy: -5.27 eV per atom.

The structure in CIF format:
```
data_LaHSe
_chemical_formula_sum 'La2 H2 Se2'
_cell_length_a 4.100
_cell_length_b 5.920
_cell_length_c 5.961
_cell_angle_alpha 89.79
_cell_angle_beta 70.07
_cell_angle_gamma 69.75
_symmetry_space_group_name_H-M 'P -1'
_symmetry_Int_Tables_number 2
_symmetry_space_group_name_Hall '-P 1'
loop_
_atom_site_label
_atom_site_type_symbol
_atom_site_fract_x
_atom_site_fract_y
_atom_site_fract_z
La1 La 0.035 0.241 0.190
H1 H 0.351 0.948 0.849
Se1 Se 0.275 0.685 0.267
```


Entry 3:
TbTm2Pu | GGA-PBE | optimized geometry

Properties
Its crystal system is trigonal. For the formation energy, the calculation gives 99 meV/atom.

The structure in CIF format:
```
data_TbTm2Pu
_chemical_formula_sum 'Tb3 Tm6 Pu3'
_cell_length_a 3.4739
_cell_length_b 3.4739
_cell_length_c 34.1060
_cell_angle_alpha 90.00
_cell_angle_beta 90.00
_cell_angle_gamma 120.00
_symmetry_space_group_name_H-M 'R -3 m'
_symmetry_Int_Tables_number 166
_symmetry_space_group_name_Hall '-R 3 2"'
loop_
_atom_site_label
_atom_site_type_symbol
_atom_site_fract_x
_atom_site_fract_y
_atom_site_fract_z
Tb1 Tb 0.0000 0.0000 0.0000
Tm1 Tm 0.0000 0.0000 0.2489
Pu1 Pu 0.0000 0.0000 0.5000
```


Entry 4:
Be2CrNi2 | GGA-PBE | optimized geometry

Properties
Its crystal system is tetragonal. For the formation energy, the calculation gives -186 meV/atom.

The structure in CIF format:
```
data_Be2CrNi2
_chemical_formula_sum 'Be4 Cr2 Ni4'
_cell_length_a 6.297
_cell_length_b 6.297
_cell_length_c 2.449
_cell_angle_alpha 90.00
_cell_angle_beta 90.00
_cell_angle_gamma 90.00
_symmetry_space_group_name_H-M 'P 4/m b m'
_symmetry_Int_Tables_number 127
_symmetry_space_group_name_Hall '-P 4 2ab'
loop_
_atom_site_label
_atom_site_type_symbol
_atom_site_fract_x
_atom_site_fract_y
_atom_site_fract_z
Be1 Be 0.124 0.376 0.000
Cr1 Cr 0.000 0.000 0.000
Ni1 Ni 0.171 0.671 0.500
```